(1)
The following is a PBE calculation of a geometry-optimized Th2Co3Ge4Ru structure, from Alexandria.

Cell lengths 4.179, 4.179, 9.739 Å; angles 90.00, 90.00, 90.00 degrees
Positions (direct):
Th  0.000  0.500  0.246
Th  0.500  0.000  0.754
Co  0.000  0.500  0.875
Co  0.500  0.000  0.125
Co  0.500  0.500  0.500
Ge  0.000  0.000  0.000
Ge  0.000  0.500  0.632
Ge  0.500  0.000  0.368
Ge  0.500  0.500  0.000
Ru  0.000  0.000  0.500

## Properties
* energy of formation from the pure elements: -631 meV/atom

***

(2)
The following is a PBE calculation of a geometry-optimized Th2Co4Ge3Ru structure, from Alexandria.

Cell lengths 4.109, 4.109, 9.788 Å; angles 90.00, 90.00, 90.00 degrees
Positions (direct):
Th  0.000  0.500  0.243
Th  0.500  0.000  0.757
Co  0.000  0.000  0.000
Co  0.000  0.500  0.627
Co  0.500  0.000  0.373
Co  0.500  0.500  0.000
Ge  0.000  0.500  0.873
Ge  0.500  0.000  0.127
Ge  0.500  0.500  0.500
Ru  0.000  0.000  0.500

## Properties
* energy of formation from the pure elements: -507 meV/atom

***

(3)
The following is a PBE calculation of a geometry-optimized TmCoGe3Ru structure, from Alexandria.

Cell lengths 7.536, 7.536, 5.597 Å; angles 90.00, 90.00, 131.16 degrees
Positions (direct):
Tm  0.172  0.828  0.750
Tm  0.828  0.172  0.250
Co  0.402  0.598  0.250
Co  0.598  0.402  0.750
Ge  0.244  0.756  0.250
Ge  0.286  0.286  0.000
Ge  0.286  0.286  0.500
Ge  0.714  0.714  0.000
Ge  0.714  0.714  0.500
Ge  0.756  0.244  0.750
Ru  0.074  0.926  0.250
Ru  0.926  0.074  0.750

## Properties
* energy of formation from the pure elements: -193 meV/atom

***

(4)
The following is a PBE calculation of a geometry-optimized TmCoGe2Ru structure, from Alexandria.

Cell lengths 5.786, 5.786, 5.786 Å; angles 138.70, 138.70, 59.84 degrees
Positions (direct):
Tm  0.000  0.000  0.000
Co  0.750  0.250  0.500
Ge  0.374  0.374  0.000
Ge  0.626  0.626  0.000
Ru  0.250  0.750  0.500

## Properties
* energy of formation from the pure elements: -601 meV/atom

***

(5)
The following is a PBE calculation of a geometry-optimized VCoGeRu structure, from Alexandria.

Cell lengths 4.397, 4.397, 4.397 Å; angles 127.84, 127.84, 76.89 degrees
Positions (direct):
V  0.000  0.000  0.000
Co  0.250  0.750  0.500
Ge  0.500  0.500  0.000
Ru  0.750  0.250  0.500

## Properties
* energy of formation from the pure elements: -279 meV/atom

***

(6)
The following is a PBE calculation of a geometry-optimized CoGeS3 structure, from Alexandria.

Cell lengths 7.812, 5.803, 7.932 Å; angles 90.00, 111.12, 90.00 degrees
Positions (direct):
Co  0.080  0.245  0.113
Co  0.080  0.255  0.613
Co  0.920  0.745  0.387
Co  0.920  0.755  0.887
Ge  0.381  0.734  0.845
Ge  0.381  0.766  0.345
Ge  0.619  0.234  0.655
Ge  0.619  0.266  0.155
S  0.088  0.058  0.370
S  0.088  0.442  0.870
S  0.186  0.586  0.543
S  0.186  0.914  0.043
S  0.372  0.139  0.776
S  0.372  0.361  0.276
S  0.628  0.639  0.724
S  0.628  0.861  0.224
S  0.814  0.086  0.957
S  0.814  0.414  0.457
S  0.912  0.558  0.130
S  0.912  0.942  0.630

## Properties
* E_tot: -100.748 eV per cell

***

(7)
The following is a PBE calculation of a geometry-optimized CoGeS2 structure, from Alexandria.

Cell lengths 7.755, 7.755, 7.755 Å; angles 24.68, 24.68, 24.68 degrees
Positions (direct):
Co  0.000  0.000  0.000
Ge  0.500  0.500  0.500
S  0.384  0.384  0.384
S  0.616  0.616  0.616

## Properties
* E_tot: -20.691 eV per cell

***

(8)
The following is a PBE calculation of a geometry-optimized CoGeS structure, from Alexandria.

Cell lengths 5.793, 5.699, 5.853 Å; angles 90.00, 115.18, 90.00 degrees
Positions (direct):
Co  0.209  0.000  0.476
Co  0.246  0.499  0.947
Co  0.754  0.999  0.053
Co  0.791  0.500  0.524
Ge  0.154  0.135  0.074
Ge  0.349  0.633  0.381
Ge  0.651  0.133  0.619
Ge  0.846  0.635  0.926
S  0.161  0.367  0.572
S  0.350  0.871  0.878
S  0.650  0.371  0.122
S  0.839  0.867  0.428

## Properties
* E_tot: -68.069 eV per cell